# SiIrBr PBE optimized geometry
data_SiIrBr
_cell_length_a 6.540
_cell_length_b 6.540
_cell_length_c 6.540
_cell_angle_alpha 152.99
_cell_angle_beta 152.99
_cell_angle_gamma 38.57
_space_group_name_H-M_alt 'P 1'
_space_group_IT_number 1
_space_group_name_Hall 'P 1'
loop_
_atom_site_label
_atom_site_type_symbol
_atom_site_fract_x
_atom_site_fract_y
_atom_site_fract_z
Br1 Br 0.996 0.996 0.000
Ir1 Ir 0.708 0.708 0.000
Si1 Si 0.295 0.295 0.000
# SG = I4mm, No. 107
# raw total energy = -4.9799 eV/atom
# relative energy among the computed polymorphs = 486 meV per atom

# KOsW PBE optimized geometry
data_KOsW
_cell_length_a 2.859
_cell_length_b 2.859
_cell_length_c 8.215
_cell_angle_alpha 90.00
_cell_angle_beta 90.00
_cell_angle_gamma 120.00
_space_group_name_H-M_alt 'P 1'
_space_group_IT_number 1
_space_group_name_Hall 'P 1'
loop_
_atom_site_label
_atom_site_type_symbol
_atom_site_fract_x
_atom_site_fract_y
_atom_site_fract_z
K1 K 0.000 0.000 0.011
Os1 Os 0.333 0.667 0.369
W1 W 0.667 0.333 0.620
# SG = P3m1, No. 156
# formation energy from the elements = 0.94 eV/atom
# raw total energy = -7.4853 eV/atom
# relative energy among the computed polymorphs = 0 meV per atom

# Er3H2 PBE optimized geometry
data_Er3H2
_cell_length_a 6.220
_cell_length_b 6.220
_cell_length_c 6.512
_cell_angle_alpha 61.47
_cell_angle_beta 61.47
_cell_angle_gamma 60.00
_space_group_name_H-M_alt 'P 1'
_space_group_IT_number 1
_space_group_name_Hall 'P 1'
loop_
_atom_site_label
_atom_site_type_symbol
_atom_site_fract_x
_atom_site_fract_y
_atom_site_fract_z
Er1 Er 0.418 0.082 0.750
Er2 Er 0.250 0.582 0.250
Er3 Er 0.750 0.418 0.750
H1 H 0.832 0.832 0.504
H2 H 0.668 0.668 0.996
Er4 Er 0.582 0.918 0.250
H3 H 0.332 0.332 0.004
Er5 Er 0.918 0.250 0.250
Er6 Er 0.082 0.750 0.750
H4 H 0.168 0.168 0.496
# SG = R-3c, No. 167
# raw total energy = -4.3761 eV/atom